DFT (PBE) results for a geometry-optimized Ca5Pt4 structure.

Output
Formation energy from the elements ... -0.507 eV per atom
Excess energy over the best structure of this formula in the dataset ... 0.351 eV/atom
N(E_F) ... 0.22 states/eV/atom

Lattice parameters (Å, degrees): 6.868 6.868 6.868 97.04 97.04 139.02
Element x y z (fractional)
Pt 0.000 0.657 0.657
Pt 0.000 0.343 0.343
Pt 0.657 0.000 0.657
Pt 0.343 0.000 0.343
Ca 0.319 0.319 0.637
Ca 0.681 0.681 0.363
Ca 0.681 0.319 0.000
Ca 0.000 0.000 0.000
Ca 0.319 0.681 0.000